VASP calculation (PBE-GGA) on a geometry-optimized Na2Cd2Sn structure.

Output
- E_form (kJ/mol of formula units) = 26
- mass density (g/cm3) = 4.84
- density of states at the Fermi level (states/eV per atom) = 0.443
- total DFT energy (no corrections) (eV/cell) = -16.41
- magnetization (μB/cell) = 0.00

Cell: 8.3768 8.3768 3.8060 Å, 90.00 90.00 90.00°
Closest atoms and distances in Å follow each position.
Sites, in units of the cell vectors:
Cd  0.1525  0.6525  0.5000  6 Na 3.07-3.13
Na  0.6442  0.1442  0.0000  6 Cd 3.07-3.13, 2 Sn 3.22, 1 Na 3.42
Cd  0.6525  0.8475  0.5000  6 Na 3.07-3.13
Sn  0.0000  0.0000  0.0000  4 Na 3.22
Na  0.8558  0.6442  0.0000  6 Cd 3.07-3.13, 2 Sn 3.22, 1 Na 3.42
Cd  0.8475  0.3475  0.5000  6 Na 3.07-3.13
Cd  0.3475  0.1525  0.5000  6 Na 3.07-3.13
Na  0.3558  0.8558  0.0000  6 Cd 3.07-3.13, 2 Sn 3.22, 1 Na 3.42
Sn  0.5000  0.5000  0.0000  4 Na 3.22
Na  0.1442  0.3558  0.0000  6 Cd 3.07-3.13, 2 Sn 3.22, 1 Na 3.42

***

VASP calculation (PBE-GGA) on a geometry-optimized Ce8Ir2Ru3 structure.

Output
- E_form (kJ/mol of formula units) = -440
- mass density (g/cm3) = 8.70
- density of states at the Fermi level (states/eV per atom) = 2.443
- total DFT energy (no corrections) (eV/cell) = -97.58
- magnetization (μB/cell) = 4.13

Cell: 6.6068 7.7812 8.7287 Å, 116.47 117.26 90.00°
Closest atoms and distances in Å follow each position.
Sites, in units of the cell vectors:
Ce  0.9797  0.1107  0.2213  3 Ru 2.73-2.97, 1 Ir 2.78
Ru  0.5000  0.0000  0.0000  6 Ce 2.73-2.77
Ir  0.4629  0.2432  0.4865  6 Ce 2.77-2.88
Ru  0.0000  0.6963  0.0000  6 Ce 2.70-2.97
Ce  0.5306  0.1431  0.7704  2 Ru 2.70-2.77, 2 Ir 2.77-2.85
Ir  0.5371  0.7568  0.5135  6 Ce 2.77-2.88
Ce  0.0203  0.8893  0.7787  3 Ru 2.73-2.97, 1 Ir 2.78
Ce  0.5306  0.6272  0.7704  2 Ru 2.70-2.77, 2 Ir 2.77-2.85
Ce  0.0305  0.6539  0.3077  2 Ru 2.77, 1 Ir 2.88
Ce  0.4694  0.8569  0.2296  2 Ru 2.70-2.77, 2 Ir 2.77-2.85
Ce  0.4694  0.3728  0.2296  2 Ru 2.70-2.77, 2 Ir 2.77-2.85
Ce  0.9695  0.3461  0.6923  2 Ru 2.77, 1 Ir 2.88
Ru  0.0000  0.3037  0.0000  6 Ce 2.70-2.97

***

VASP calculation (PBE-GGA) on a geometry-optimized Sc5Co2Te structure.

Output
- mass density (g/cm3) = 4.87
- E_form (uncorrected) (eV per formula unit) = -4.0
- density of states at the Fermi level (states/eV per atom) = 1.066
- total DFT energy (no corrections) (eV/cell) = -106.06
- magnetization (μB/cell) = 0.00

Cell: 6.8701 6.8701 8.3499 Å, 114.29 114.29 90.00°
Closest atoms and distances in Å follow each position.
Sites, in units of the cell vectors:
Sc  0.0000  0.0000  0.0000  4 Co 2.67
Co  0.3634  0.8634  0.0000  1 Co 2.65, 8 Sc 2.66-2.70
Sc  0.2900  0.7900  0.2618  3 Co 2.66-2.70
Co  0.1366  0.3634  0.0000  1 Co 2.65, 8 Sc 2.66-2.70
Co  0.6366  0.1366  0.0000  1 Co 2.65, 8 Sc 2.66-2.70
Sc  0.7100  0.2100  0.7382  3 Co 2.66-2.70
Sc  0.4718  0.2900  0.2618  3 Co 2.66-2.70
Sc  0.9718  0.4718  0.2618  3 Co 2.66-2.70
Sc  0.5000  0.5000  0.0000  4 Co 2.67
Te  0.7500  0.7500  0.5000  10 Sc 3.05-3.40
Sc  0.7900  0.9718  0.2618  3 Co 2.66-2.70
Te  0.2500  0.2500  0.5000  10 Sc 3.05-3.40
Sc  0.5282  0.7100  0.7382  3 Co 2.66-2.70
Sc  0.0282  0.5282  0.7382  3 Co 2.66-2.70
Sc  0.2100  0.0282  0.7382  3 Co 2.66-2.70
Co  0.8634  0.6366  0.0000  1 Co 2.65, 8 Sc 2.66-2.70